Here is a relaxed TiMn2InO6 crystal from Alexandria. Energies are from PBE+U.

abc: 5.222 5.229 5.673
angles: 62.62 62.35 59.87
Site moments in Bohr magnetons follow the coordinates.
Atoms (fractional coordinates):
Mn 0.528 0.527 0.419  4.60
O 0.384 0.723 0.767  0.00
O 0.952 0.606 0.230  -0.01
O 0.606 0.210 0.232  -0.01
O 0.722 0.128 0.765  -0.01
In 0.804 0.805 0.586  0.01
O 0.213 0.951 0.232  -0.01
O 0.123 0.385 0.768  0.01
Ti 0.319 0.314 0.047  0.07
Mn 0.010 0.011 0.969  2.10

## Properties
Its magnetization is 7.00 μB per formula unit. Its total energy is -74.3 eV for the cell shown.